[1]
First-principles (GGA-PBE) data for a relaxed Pr3Tl2In3Co crystal, as listed in Alexandria via LeMat-Bulk.

POSCAR file:
```
Pr3Tl2In3Co
1.0
4.586 0.000 0.000
0.000 7.696 0.000
0.000 -3.848 6.665
Pr Tl In Co
3 2 3 1
direct
0.000 0.000 0.382 Pr
0.000 0.618 0.618 Pr
0.000 0.382 0.000 Pr
0.500 0.333 0.667 Tl
0.500 0.667 0.333 Tl
0.500 0.772 0.000 In
0.500 0.228 0.228 In
0.500 0.000 0.772 In
0.000 0.000 0.000 Co
```

Values from the calculation:
- uncorrected energy (eV per atom) = -4.189
- space-group type = P-62m
- energy of formation from the pure elements (eV/atom) = -0.37
- total magnetic moment (μB/f.u.) = 0.0

=====

[2]
First-principles (GGA-PBE) data for a relaxed DyErAgIr crystal, as listed in Alexandria via LeMat-Bulk.

POSCAR file:
```
DyErAgIr
1.0
4.951 0.000 0.000
2.475 4.287 0.000
2.475 1.429 4.042
Ir Dy Ag Er
1 1 1 1
direct
0.750 0.750 0.750 Ir
0.000 0.000 0.000 Dy
0.250 0.250 0.250 Ag
0.500 0.500 0.500 Er
```

Values from the calculation:
- uncorrected energy (eV per atom) = -5.839
- space-group type = F-43m
- energy of formation from the pure elements (eV/atom) = -0.62
- total magnetic moment (μB/f.u.) = 0.0

=====

[3]
First-principles (GGA-PBE) data for a relaxed ScCrAsBr2 crystal, as listed in Alexandria via LeMat-Bulk.

POSCAR file:
```
ScCrAsBr2
1.0
-1.374 4.727 -0.074
-4.034 -1.132 2.585
2.569 0.815 4.365
Sc Cr As Br
1 1 1 2
direct
0.500 0.500 0.500 Sc
0.000 0.000 0.000 Cr
0.000 0.000 0.500 As
0.000 0.500 0.000 Br
0.500 0.000 0.000 Br
```

Values from the calculation:
- uncorrected energy (eV per atom) = -4.885
- space-group type = P4/mmm
- formation energy without anion corrections (eV/atom) = -0.095
- total magnetic moment (μB/f.u.) = 4.0
- distance to the lowest polymorph of the same formula (meV/atom) = 81.1

=====

[4]
First-principles (GGA-PBE) data for a relaxed ZrAlNi crystal, as listed in Alexandria via LeMat-Bulk.

POSCAR file:
```
ZrAlNi
1.0
-2.951 2.001 -1.826
0.913 -4.520 -2.035
-3.478 -2.166 3.249
Al Ni Zr
2 2 2
direct
0.500 0.000 0.500 Al
0.500 0.000 0.000 Al
0.094 0.189 0.750 Ni
0.906 0.811 0.250 Ni
0.203 0.406 0.250 Zr
0.797 0.594 0.750 Zr
```

Values from the calculation:
- uncorrected energy (eV per atom) = -6.615
- space-group type = Cmcm
- energy of formation from the pure elements (eV/atom) = -0.59
- total magnetic moment (μB/f.u.) = 0.0

=====

[5]
First-principles (GGA-PBE) data for a relaxed Mg2Al2SiPd5 crystal, as listed in Alexandria via LeMat-Bulk.

POSCAR file:
```
Mg2Al2SiPd5
1.0
2.991 0.000 0.000
0.000 10.356 0.000
0.000 0.000 10.356
Mg Al Si Pd
4 4 2 10
direct
0.000 0.664 0.164 Mg
0.000 0.336 0.836 Mg
0.000 0.164 0.336 Mg
0.000 0.836 0.664 Mg
0.000 0.139 0.639 Al
0.000 0.861 0.361 Al
0.000 0.639 0.861 Al
0.000 0.361 0.139 Al
0.000 0.000 0.000 Si
0.000 0.500 0.500 Si
0.500 0.196 0.029 Pd
0.500 0.804 0.971 Pd
0.500 0.029 0.804 Pd
0.500 0.696 0.471 Pd
0.500 0.971 0.196 Pd
0.500 0.304 0.529 Pd
0.500 0.529 0.696 Pd
0.500 0.471 0.304 Pd
0.500 0.500 0.000 Pd
0.500 0.000 0.500 Pd
```

Values from the calculation:
- uncorrected energy (eV per atom) = -4.850
- space-group type = P4/mbm
- formation energy without anion corrections (eV/atom) = -0.644
- total magnetic moment (μB/f.u.) = 0.0

=====

[6]
First-principles (GGA-PBE) data for a relaxed CaY2Er crystal, as listed in Alexandria via LeMat-Bulk.

POSCAR file:
```
CaY2Er
1.0
-0.948 -3.250 1.218
1.758 -1.464 2.777
-7.501 3.555 8.954
Ca Y Er
1 2 1
direct
0.500 0.500 0.499 Ca
0.078 0.078 0.766 Y
0.255 0.255 0.235 Y
0.666 0.666 0.001 Er
```

Values from the calculation:
- uncorrected energy (eV per atom) = -4.812
- space-group type = R3m
- energy of formation from the pure elements (eV/atom) = 0.06
- total magnetic moment (μB/f.u.) = 0.1
- distance to the lowest polymorph of the same formula (meV/atom) = 0.0

=====

[7]
First-principles (GGA-PBE) data for a relaxed PmEr2Ni crystal, as listed in Alexandria via LeMat-Bulk.

POSCAR file:
```
PmEr2Ni
1.0
-2.186 -2.315 -1.243
1.810 -0.154 -2.895
4.874 -6.423 3.390
Ni Pm Er
1 1 2
direct
0.500 0.500 0.000 Ni
0.500 0.500 0.500 Pm
0.000 0.000 0.818 Er
0.000 0.000 0.182 Er
```

Values from the calculation:
- uncorrected energy (eV per atom) = -5.113
- space-group type = P4/mmm
- energy of formation from the pure elements (eV/atom) = -0.20
- total magnetic moment (μB/f.u.) = 0.0
- distance to the lowest polymorph of the same formula (meV/atom) = 40.2

=====

[8]
First-principles (GGA-PBE) data for a relaxed Na2MoCl5 crystal, as listed in Alexandria via LeMat-Bulk.

POSCAR file:
```
Na2MoCl5
1.0
-1.567 -0.898 4.638
-1.932 -5.678 -4.423
11.398 -5.975 2.692
Na Mo Cl
4 2 10
direct
0.854 0.708 0.439 Na
0.854 0.708 0.061 Na
0.146 0.292 0.561 Na
0.146 0.292 0.939 Na
0.832 0.663 0.750 Mo
0.168 0.337 0.250 Mo
0.953 0.906 0.879 Cl
0.953 0.906 0.621 Cl
0.290 0.580 0.390 Cl
0.290 0.580 0.110 Cl
0.697 0.395 0.250 Cl
0.303 0.605 0.750 Cl
0.710 0.420 0.610 Cl
0.710 0.420 0.890 Cl
0.047 0.094 0.121 Cl
0.047 0.094 0.379 Cl
```

Values from the calculation:
- uncorrected energy (eV per atom) = -4.109
- space-group type = Cmcm
- formation energy without anion corrections (eV/atom) = -1.271
- total magnetic moment (μB/f.u.) = 3.0
- distance to the lowest polymorph of the same formula (meV/atom) = 0.0